(1)
A relaxed structure of LiMnZn2. Source: the Alexandria database, functional PBE.

extended XYZ file:
```
8
Lattice="3.7638 0.0000 0.0000 0.0000 3.7638 0.0000 1.8819 1.8819 9.1593" Properties=species:S:1:pos:R:3 pbc="T T T"
Zn 2.8205 0.9409 2.2898
Zn 0.9433 2.8228 2.2898
Zn 2.8228 2.8252 6.8695
Zn 4.7047 4.7024 6.8695
Mn 0.0000 0.0000 0.0000
Mn 3.7638 1.8819 4.5796
Li 1.8819 1.8819 0.0000
Li 1.8819 3.7638 4.5796
```

Properties
- space-group type = I-42d (122)



(2)
A relaxed structure of LiMnZn2. Source: the Alexandria database, functional PBE.

extended XYZ file:
```
4
Lattice="3.1361 0.0000 0.0000 0.0000 3.1361 0.0000 0.0000 0.0000 5.8894" Properties=species:S:1:pos:R:3 pbc="T T T"
Li 0.0000 0.0000 2.9002
Mn 1.5681 1.5681 4.4477
Zn 0.0000 0.0000 5.8536
Zn 1.5681 1.5681 1.5219
```

Properties
- space-group type = P4mm (99)



(3)
A relaxed structure of Li2MnZn. Source: the Alexandria database, functional PBE.

extended XYZ file:
```
4
Lattice="2.8676 0.0000 0.0000 0.0000 2.8676 0.0000 0.0000 0.0000 7.5301" Properties=species:S:1:pos:R:3 pbc="T T T"
Li 0.0000 0.0000 7.3513
Li 1.4338 1.4338 1.9829
Mn 0.0000 0.0000 3.9204
Zn 1.4338 1.4338 5.5706
```

Properties
- space-group type = P4mm (99)



Number 1: Fermi-level density of states 5.4 states/eV/cell, DFT formation energy 0.330 eV/atom, size of the total moment 0.9408 μB per atom. Number 2: Fermi-level density of states 1.8 states/eV/cell, DFT formation energy 0.083 eV/atom, size of the total moment 0.9206 μB per atom. Number 3: Fermi-level density of states 3.3 states/eV/cell, DFT formation energy 0.108 eV/atom, size of the total moment 0.8462 μB per atom.